Below is an optimized crystal structure of Ac2CeSe2N2, with properties calculated at the PBE-GGA level.

Total DFT energy (no corrections) (eV/f.u.): -49.46
Size of the total moment (μB per formula unit): 0.0

a = 8.664 Å, b = 8.664 Å, c = 8.664 Å
α = 149.71°, β = 149.71°, γ = 43.36°
Element x y z (fractional)
1 Ac 0.118 0.118 0.000
2 Ac 0.882 0.882 0.000
3 Ce 0.500 0.500 0.000
4 Se 0.318 0.318 0.000
5 Se 0.682 0.682 0.000
6 N 0.000 0.500 0.500
7 N 0.500 0.000 0.500


Below is an optimized crystal structure of K2BeP, with properties calculated at the PBE-GGA level.

Total DFT energy (no corrections) (eV/f.u.): -8.79
Formation energy (eV per atom): 0.64
Energy above the most stable polymorph in this dataset (eV/atom): 0.878
Size of the total moment (μB per formula unit): 0.0

a = 5.861 Å, b = 5.861 Å, c = 3.133 Å
α = 90.00°, β = 90.00°, γ = 90.46°
Element x y z (fractional)
1 K 0.000 0.500 0.000
2 K 0.500 0.000 0.000
3 Be 0.000 0.000 0.500
4 P 0.500 0.500 0.500


Below is an optimized crystal structure of ScMnCl2, with properties calculated at the PBE-GGA level.

Total DFT energy (no corrections) (eV/f.u.): -21.37
Energy above the most stable polymorph in this dataset (eV/atom): 0.369
Size of the total moment (μB per formula unit): 2.9

a = 8.750 Å, b = 8.750 Å, c = 8.750 Å
α = 150.32°, β = 150.32°, γ = 42.47°
Element x y z (fractional)
1 Sc 0.000 0.000 0.000
2 Sc 0.750 0.250 0.500
3 Mn 0.250 0.750 0.500
4 Mn 0.500 0.500 0.000
5 Cl 0.130 0.625 0.005
6 Cl 0.375 0.380 0.505
7 Cl 0.620 0.125 0.995
8 Cl 0.875 0.870 0.495


Below is an optimized crystal structure of MgCrPd, with properties calculated at the PBE-GGA level.

Total DFT energy (no corrections) (eV/f.u.): -16.68
Formation energy (eV per atom): -0.09
Size of the total moment (μB per formula unit): 0.2

a = 3.000 Å, b = 5.204 Å, c = 6.867 Å
α = 70.58°, β = 89.96°, γ = 73.49°
Element x y z (fractional)
1 Mg 0.000 0.000 0.000
2 Mg 0.333 0.330 0.251
3 Cr 0.054 0.889 0.607
4 Cr 0.685 0.628 0.840
5 Pd 0.349 0.302 0.665
6 Pd 0.632 0.735 0.337


Below is an optimized crystal structure of Ho2PdRh, with properties calculated at the PBE-GGA level.

Total DFT energy (no corrections) (eV/f.u.): -25.39
Formation energy (eV per atom): -0.92
Size of the total moment (μB per formula unit): 0.0

a = 3.444 Å, b = 3.444 Å, c = 6.927 Å
α = 90.00°, β = 90.00°, γ = 90.00°
Element x y z (fractional)
1 Ho 0.000 0.000 0.241
2 Ho 0.000 0.000 0.759
3 Pd 0.500 0.500 0.500
4 Rh 0.500 0.500 0.000


Below is an optimized crystal structure of CsCdIr3, with properties calculated at the PBE-GGA level.

Total DFT energy (no corrections) (eV/f.u.): -18.24
Formation energy (eV per atom): 2.02
Energy above the most stable polymorph in this dataset (eV/atom): 0.000
Size of the total moment (μB per formula unit): 3.1

a = 5.112 Å, b = 5.112 Å, c = 5.112 Å
α = 90.00°, β = 90.00°, γ = 90.00°
Element x y z (fractional)
1 Cs 0.000 0.000 0.000
2 Cd 0.500 0.500 0.500
3 Ir 0.000 0.500 0.500
4 Ir 0.500 0.000 0.500
5 Ir 0.500 0.500 0.000